# 1
GaHRh3: optimized geometry, GGA-PBE.

Its crystal system is cubic. Its distance to the lowest polymorph of the same formula is 0.10 eV/f.u. The calculation puts the raw total energy at -5.96 eV/atom.

The space group is Pm-3m (No. 221) and the conventional cell measures 3.9048, 3.9048 and 3.9048 Å, with angles of 90.00, 90.00 and 90.00 degrees. The asymmetric unit holds Ga at (0.0000, 0.0000, 0.0000), H at (0.5000, 0.5000, 0.5000) and Rh at (0.0000, 0.5000, 0.5000).


# 2
TbMgSb2: optimized geometry, GGA-PBE.

Its crystal system is tetragonal. Its distance to the lowest polymorph of the same formula is 0.36 eV/f.u. The calculation puts the raw total energy at -4.18 eV/atom. For the uncorrected formation energy, the calculation gives -0.5673 eV per atom.

The space group is P4/mmm (No. 123) and the conventional cell measures 4.9847, 4.9847 and 4.1220 Å, with angles of 90.00, 90.00 and 90.00 degrees. The asymmetric unit holds Tb at (0.0000, 0.0000, 0.0000), Mg at (0.5000, 0.5000, 0.0000) and Sb at (0.0000, 0.5000, 0.5000).


# 3
KGaSn: optimized geometry, GGA-PBE.

Its crystal system is monoclinic. The calculation puts the raw total energy at -2.90 eV/atom.

The space group is Cm (No. 8) and the conventional cell measures 12.2209, 4.6614 and 8.3305 Å, with angles of 90.00, 127.56 and 90.00 degrees. The asymmetric unit holds K at (0.0000, 0.0000, 0.0000), K at (0.1305, 0.0000, 0.6811), Ga at (0.1922, 0.5000, 0.3882), Ga at (0.2632, 0.5000, 0.1506), Sn at (0.3563, 0.0000, 0.5467) and Sn at (0.4209, 0.0000, 0.2546).


# 4
Ba2Mo2N: optimized geometry, GGA-PBE.

Its crystal system is tetragonal. Its distance to the lowest polymorph of the same formula is 4.04 eV/f.u. The calculation puts the raw total energy at -5.43 eV/atom. For the uncorrected formation energy, the calculation gives 1.3363 eV per atom.

The space group is P4/mbm (No. 127) and the conventional cell measures 7.3819, 7.3819 and 5.9436 Å, with angles of 90.00, 90.00 and 90.00 degrees. The asymmetric unit holds Ba at (0.1893, 0.3107, 0.0000), Mo at (0.0979, 0.5979, 0.5000) and N at (0.0000, 0.0000, 0.0000).